Record 1
Here is a geometry-optimized Tb6CeY10 structure from the Alexandria database. Energies are from PBE-GGA.

- M_tot: 1.3 μB per formula unit
- Formation energy: 0.141 eV per atom

abc: 9.674 9.674 6.869
angles: 90.00 90.00 120.00
Sites, in units of the cell vectors:
Tb: 0.000 0.379 0.199
Tb: 0.000 0.621 0.801
Tb: 0.379 0.000 0.199
Tb: 0.379 0.379 0.801
Tb: 0.621 0.000 0.801
Tb: 0.621 0.621 0.199
Ce: 0.000 0.000 0.000
Y: 0.000 0.273 0.685
Y: 0.000 0.727 0.315
Y: 0.273 0.000 0.685
Y: 0.273 0.273 0.315
Y: 0.333 0.667 0.000
Y: 0.333 0.667 0.500
Y: 0.667 0.333 0.000
Y: 0.667 0.333 0.500
Y: 0.727 0.000 0.315
Y: 0.727 0.727 0.685


Record 2
Here is a geometry-optimized Tb3CeY2 structure from the Alexandria database. Energies are from PBE-GGA.

- M_tot: 1.8 μB per formula unit
- Formation energy: 0.158 eV per atom

abc: 8.636 8.636 8.636
angles: 140.17 99.37 93.97
Sites, in units of the cell vectors:
Tb: 0.080 0.750 0.330
Tb: 0.250 0.250 0.000
Tb: 0.420 0.750 0.670
Tb: 0.580 0.250 0.330
Tb: 0.750 0.750 0.000
Tb: 0.920 0.250 0.670
Ce: 0.000 0.500 0.500
Ce: 0.500 0.000 0.500
Y: 0.169 0.001 0.171
Y: 0.331 0.501 0.832
Y: 0.669 0.499 0.168
Y: 0.831 0.999 0.829


Record 3
Here is a geometry-optimized TbCeY2 structure from the Alexandria database. Energies are from PBE-GGA.

- M_tot: 0.5 μB per formula unit
- Formation energy: 0.048 eV per atom

abc: 11.652 11.652 11.652
angles: 17.61 17.61 17.61
Sites, in units of the cell vectors:
Tb: 0.000 0.000 0.000
Ce: 0.166 0.166 0.166
Y: 0.582 0.582 0.582
Y: 0.750 0.750 0.750


Record 4
Here is a geometry-optimized Tb4CeY3 structure from the Alexandria database. Energies are from PBE-GGA.

- M_tot: 0.0 μB per formula unit
- Formation energy: 0.417 eV per atom

abc: 8.778 8.778 3.360
angles: 90.00 90.00 96.76
Sites, in units of the cell vectors:
Tb: 0.229 0.229 0.500
Tb: 0.236 0.764 0.000
Tb: 0.764 0.236 0.000
Tb: 0.771 0.771 0.500
Ce: 0.000 0.000 0.000
Y: 0.000 0.500 0.500
Y: 0.500 0.000 0.500
Y: 0.500 0.500 0.000


Record 5
Here is a geometry-optimized Tb5CeY4 structure from the Alexandria database. Energies are from PBE-GGA.

- M_tot: 0.1 μB per formula unit
- Formation energy: 0.251 eV per atom

abc: 8.004 8.004 8.004
angles: 97.81 97.81 136.75
Sites, in units of the cell vectors:
Tb: 0.000 0.000 0.000
Tb: 0.519 0.519 0.630
Tb: 0.519 0.890 0.000
Tb: 0.890 0.519 0.000
Tb: 0.890 0.890 0.370
Ce: 0.467 0.467 0.000
Y: 0.211 0.536 0.325
Y: 0.211 0.885 0.675
Y: 0.536 0.211 0.325
Y: 0.885 0.211 0.675


Record 6
Here is a geometry-optimized TbCeY2 structure from the Alexandria database. Energies are from PBE-GGA.

- M_tot: 0.8 μB per formula unit
- Formation energy: 0.070 eV per atom

abc: 3.543 3.543 10.100
angles: 90.00 90.00 90.00
Sites, in units of the cell vectors:
Tb: 0.000 0.000 0.000
Ce: 0.000 0.000 0.500
Y: 0.500 0.500 0.254
Y: 0.500 0.500 0.746


Record 7
Here is a geometry-optimized Tb2CeY6 structure from the Alexandria database. Energies are from PBE-GGA.

- M_tot: 1.2 μB per formula unit
- Formation energy: 0.045 eV per atom

abc: 6.184 6.191 15.547
angles: 93.80 97.63 99.66
Sites, in units of the cell vectors:
Tb: 0.022 0.055 0.305
Tb: 0.477 0.945 0.195
Tb: 0.523 0.055 0.805
Tb: 0.978 0.945 0.695
Ce: 0.250 0.500 0.750
Ce: 0.750 0.500 0.250
Y: 0.084 0.169 0.916
Y: 0.140 0.279 0.529
Y: 0.197 0.390 0.140
Y: 0.303 0.610 0.360
Y: 0.361 0.721 0.971
Y: 0.417 0.831 0.584
Y: 0.583 0.169 0.416
Y: 0.639 0.279 0.029
Y: 0.697 0.390 0.640
Y: 0.803 0.610 0.860
Y: 0.860 0.721 0.471
Y: 0.916 0.831 0.084


Record 8
Here is a geometry-optimized Tb4CeY3 structure from the Alexandria database. Energies are from PBE-GGA.

- M_tot: 1.0 μB per formula unit
- Formation energy: 0.195 eV per atom

abc: 11.845 11.845 6.773
angles: 106.56 106.56 16.65
Sites, in units of the cell vectors:
Tb: 0.124 0.124 0.366
Tb: 0.259 0.259 0.756
Tb: 0.741 0.741 0.244
Tb: 0.876 0.876 0.634
Ce: 0.500 0.500 0.000
Y: 0.000 0.000 0.500
Y: 0.125 0.125 0.884
Y: 0.875 0.875 0.116


Record 9
Here is a geometry-optimized Tb2CeY structure from the Alexandria database. Energies are from PBE-GGA.

- M_tot: 2.5 μB per formula unit
- Formation energy: 0.186 eV per atom

abc: 5.681 5.681 5.681
angles: 60.00 60.00 60.00
Sites, in units of the cell vectors:
Tb: 0.250 0.250 0.250
Tb: 0.750 0.750 0.750
Ce: 0.000 0.000 0.000
Y: 0.500 0.500 0.500


Record 10
Here is a geometry-optimized Tb4CeY15 structure from the Alexandria database. Energies are from PBE-GGA.

- M_tot: 1.0 μB per formula unit
- Formation energy: 0.033 eV per atom

abc: 5.057 5.057 25.228
angles: 90.00 90.00 90.00
Sites, in units of the cell vectors:
Tb: 0.000 0.000 0.100
Tb: 0.000 0.000 0.301
Tb: 0.000 0.000 0.699
Tb: 0.000 0.000 0.900
Ce: 0.000 0.000 0.500
Y: 0.000 0.500 0.000
Y: 0.000 0.500 0.200
Y: 0.000 0.500 0.401
Y: 0.000 0.500 0.599
Y: 0.000 0.500 0.800
Y: 0.500 0.000 0.000
Y: 0.500 0.000 0.200
Y: 0.500 0.000 0.401
Y: 0.500 0.000 0.599
Y: 0.500 0.000 0.800
Y: 0.500 0.500 0.100
Y: 0.500 0.500 0.300
Y: 0.500 0.500 0.500
Y: 0.500 0.500 0.700
Y: 0.500 0.500 0.900


Record 11
Here is a geometry-optimized TbCeY14 structure from the Alexandria database. Energies are from PBE-GGA.

- M_tot: 1.0 μB per formula unit
- Formation energy: 0.034 eV per atom

abc: 7.152 7.152 10.101
angles: 90.00 90.00 90.00
Sites, in units of the cell vectors:
Tb: 0.000 0.000 0.000
Ce: 0.500 0.500 0.000
Y: 0.000 0.000 0.500
Y: 0.000 0.500 0.000
Y: 0.000 0.500 0.500
Y: 0.251 0.251 0.249
Y: 0.251 0.251 0.751
Y: 0.251 0.749 0.249
Y: 0.251 0.749 0.751
Y: 0.500 0.000 0.000
Y: 0.500 0.000 0.500
Y: 0.500 0.500 0.500
Y: 0.749 0.251 0.249
Y: 0.749 0.251 0.751
Y: 0.749 0.749 0.249
Y: 0.749 0.749 0.751


Record 12
Here is a geometry-optimized Tb8CeY6 structure from the Alexandria database. Energies are from PBE-GGA.

- M_tot: 1.3 μB per formula unit
- Formation energy: 0.124 eV per atom

abc: 8.637 8.637 8.637
angles: 63.13 63.13 63.13
Sites, in units of the cell vectors:
Tb: 0.077 0.077 0.077
Tb: 0.217 0.253 0.613
Tb: 0.253 0.613 0.217
Tb: 0.387 0.783 0.747
Tb: 0.613 0.217 0.253
Tb: 0.747 0.387 0.783
Tb: 0.783 0.747 0.387
Tb: 0.923 0.923 0.923
Ce: 0.500 0.500 0.500
Y: 0.039 0.736 0.602
Y: 0.264 0.398 0.961
Y: 0.398 0.961 0.264
Y: 0.602 0.039 0.736
Y: 0.736 0.602 0.039
Y: 0.961 0.264 0.398


Record 13
Here is a geometry-optimized Tb7Ce2Y2 structure from the Alexandria database. Energies are from PBE-GGA.

- M_tot: 2.3 μB per formula unit
- Formation energy: 0.203 eV per atom

abc: 8.034 8.034 5.995
angles: 105.24 105.24 92.63
Sites, in units of the cell vectors:
Tb: 0.000 0.000 0.000
Tb: 0.064 0.591 0.827
Tb: 0.409 0.936 0.173
Tb: 0.410 0.410 0.194
Tb: 0.590 0.590 0.806
Tb: 0.591 0.064 0.827
Tb: 0.936 0.409 0.173
Ce: 0.219 0.781 0.500
Ce: 0.781 0.219 0.500
Y: 0.228 0.228 0.589
Y: 0.772 0.772 0.411


Record 14
Here is a geometry-optimized TbCeYZr structure from the Alexandria database. Energies are from PBE-GGA.

- M_tot: 2.5 μB per formula unit
- Formation energy: 0.236 eV per atom

abc: 5.493 5.493 5.493
angles: 60.00 60.00 60.00
Sites, in units of the cell vectors:
Tb: 0.000 0.000 0.000
Ce: 0.250 0.250 0.250
Y: 0.750 0.750 0.750
Zr: 0.500 0.500 0.500


Record 15
Here is a geometry-optimized Tb5CeZn6 structure from the Alexandria database. Energies are from PBE-GGA.

- M_tot: 1.3 μB per formula unit
- Formation energy: -0.304 eV per atom

abc: 5.073 7.191 8.017
angles: 90.00 108.38 90.00
Sites, in units of the cell vectors:
Tb: 0.000 0.000 0.000
Tb: 0.334 0.500 0.668
Tb: 0.336 0.000 0.671
Tb: 0.664 0.000 0.329
Tb: 0.666 0.500 0.332
Ce: 0.000 0.500 0.000
Zn: 0.168 0.247 0.337
Zn: 0.168 0.753 0.337
Zn: 0.500 0.246 0.000
Zn: 0.500 0.754 0.000
Zn: 0.832 0.247 0.663
Zn: 0.832 0.753 0.663


Record 16
Here is a geometry-optimized TbCe3Zn4 structure from the Alexandria database. Energies are from PBE-GGA.

- M_tot: 2.4 μB per formula unit
- Formation energy: -0.211 eV per atom

abc: 5.112 5.112 7.219
angles: 90.00 90.00 90.00
Sites, in units of the cell vectors:
Tb: 0.000 0.000 0.000
Ce: 0.000 0.000 0.500
Ce: 0.500 0.500 0.000
Ce: 0.500 0.500 0.500
Zn: 0.000 0.500 0.243
Zn: 0.000 0.500 0.757
Zn: 0.500 0.000 0.243
Zn: 0.500 0.000 0.757


Record 17
Here is a geometry-optimized Tb2CeZn structure from the Alexandria database. Energies are from PBE-GGA.

- M_tot: 0.7 μB per formula unit
- Formation energy: -0.121 eV per atom

abc: 3.541 3.541 8.523
angles: 90.00 90.00 90.00
Sites, in units of the cell vectors:
Tb: 0.000 0.000 0.212
Tb: 0.000 0.000 0.788
Ce: 0.500 0.500 0.500
Zn: 0.500 0.500 0.000


Record 18
Here is a geometry-optimized Tb2CeZn structure from the Alexandria database. Energies are from PBE-GGA.

- M_tot: 0.0 μB per formula unit
- Formation energy: 0.121 eV per atom

abc: 5.257 5.257 5.257
angles: 60.00 60.00 60.00
Sites, in units of the cell vectors:
Tb: 0.250 0.250 0.250
Tb: 0.750 0.750 0.750
Ce: 0.000 0.000 0.000
Zn: 0.500 0.500 0.500


Record 19
Here is a geometry-optimized TbCeZn10 structure from the Alexandria database. Energies are from PBE-GGA.

- M_tot: 0.6 μB per formula unit
- Formation energy: -0.266 eV per atom

abc: 4.239 5.347 9.235
angles: 90.00 90.00 90.00
Sites, in units of the cell vectors:
Tb: 0.000 0.000 0.000
Ce: 0.000 0.500 0.500
Zn: 0.000 0.000 0.329
Zn: 0.000 0.000 0.671
Zn: 0.000 0.500 0.163
Zn: 0.000 0.500 0.837
Zn: 0.500 0.000 0.500
Zn: 0.500 0.251 0.250
Zn: 0.500 0.251 0.750
Zn: 0.500 0.500 0.000
Zn: 0.500 0.749 0.250
Zn: 0.500 0.749 0.750


Record 20
Here is a geometry-optimized TbCe2Zn6 structure from the Alexandria database. Energies are from PBE-GGA.

- M_tot: 2.1 μB per formula unit
- Formation energy: -0.309 eV per atom

abc: 7.939 7.939 3.392
angles: 90.00 90.00 120.00
Sites, in units of the cell vectors:
Tb: 0.000 0.000 0.000
Ce: 0.333 0.667 0.000
Ce: 0.667 0.333 0.000
Zn: 0.000 0.330 0.500
Zn: 0.000 0.670 0.500
Zn: 0.330 0.000 0.500
Zn: 0.330 0.330 0.500
Zn: 0.670 0.000 0.500
Zn: 0.670 0.670 0.500


Record 21
Here is a geometry-optimized Tb2CeZn3 structure from the Alexandria database. Energies are from PBE-GGA.

- M_tot: 0.8 μB per formula unit
- Formation energy: -0.282 eV per atom

abc: 3.572 3.572 10.918
angles: 90.00 90.00 90.00
Sites, in units of the cell vectors:
Tb: 0.000 0.000 0.164
Tb: 0.000 0.000 0.836
Ce: 0.000 0.000 0.500
Zn: 0.500 0.500 0.000
Zn: 0.500 0.500 0.325
Zn: 0.500 0.500 0.675


Record 22
Here is a geometry-optimized TbCeZn4 structure from the Alexandria database. Energies are from PBE-GGA.

- M_tot: 0.3 μB per formula unit
- Formation energy: -0.306 eV per atom

abc: 5.486 5.486 5.486
angles: 60.00 60.00 60.00
Sites, in units of the cell vectors:
Tb: 0.000 0.000 0.000
Ce: 0.250 0.250 0.250
Zn: 0.124 0.625 0.625
Zn: 0.625 0.124 0.625
Zn: 0.625 0.625 0.124
Zn: 0.625 0.625 0.625